# 1
This record from the Alexandria database describes crystalline KGeCl3 at its relaxed geometry. The functional is PBE.

a b c (Å): 9.536 9.536 9.536
angles (deg): 142.04 142.04 54.77
Positions (direct):
K 0.110 0.110 0.000
K 0.890 0.890 0.000
Ge 0.500 0.500 0.000
Ge 0.750 0.250 0.500
Cl 0.044 0.544 0.500
Cl 0.118 0.359 0.759
Cl 0.456 0.956 0.500
Cl 0.599 0.359 0.241
Cl 0.641 0.401 0.759
Cl 0.641 0.882 0.241

Calculated values
**Space group**: I-4m2, No. 119
**Total moment**: 0.0 μB/cell
**Crystal system**: tetragonal
**Uncorrected formation energy**: -0.95 eV per atom
**E**: -3.198 eV per atom


# 2
This record from the Alexandria database describes crystalline KGeCl3 at its relaxed geometry. The functional is PBE.

a b c (Å): 8.608 8.608 7.337
angles (deg): 97.69 97.69 36.07
Positions (direct):
K 0.119 0.119 0.364
K 0.881 0.881 0.636
Ge 0.373 0.373 0.104
Ge 0.627 0.627 0.896
Cl 0.134 0.134 0.925
Cl 0.315 0.315 0.386
Cl 0.490 0.490 0.747
Cl 0.510 0.510 0.253
Cl 0.685 0.685 0.614
Cl 0.866 0.866 0.075

Calculated values
**Space group**: C2/m, No. 12
**Total moment**: 0.0 μB/cell
**Crystal system**: monoclinic
**Uncorrected formation energy**: -1.25 eV per atom
**E**: -3.504 eV per atom


# 3
This record from the Alexandria database describes crystalline KGeCl6 at its relaxed geometry. The functional is PBE.

a b c (Å): 6.843 6.846 7.168
angles (deg): 89.98 61.57 60.12
Positions (direct):
K 0.000 0.000 0.000
Ge 0.000 0.500 0.500
Cl 0.160 0.496 0.722
Cl 0.225 0.656 0.279
Cl 0.376 0.120 0.279
Cl 0.624 0.880 0.721
Cl 0.775 0.344 0.721
Cl 0.840 0.504 0.278

Calculated values
**Space group**: P-1, No. 2
**Total moment**: 1.1 μB/cell
**Crystal system**: triclinic
**Uncorrected formation energy**: -0.86 eV per atom
**E**: -2.963 eV per atom


# 4
This record from the Alexandria database describes crystalline KGeCl3 at its relaxed geometry. The functional is PBE.

a b c (Å): 8.195 8.195 8.195
angles (deg): 56.38 56.38 56.38
Positions (direct):
K 0.132 0.132 0.132
K 0.868 0.868 0.868
Ge 0.320 0.320 0.320
Ge 0.680 0.680 0.680
Cl 0.008 0.488 0.737
Cl 0.263 0.992 0.512
Cl 0.488 0.737 0.008
Cl 0.512 0.263 0.992
Cl 0.737 0.008 0.488
Cl 0.992 0.512 0.263

Calculated values
**Space group**: R-3, No. 148
**Total moment**: 0.0 μB/cell
**Crystal system**: trigonal
**Uncorrected formation energy**: -1.28 eV per atom
**E**: -3.527 eV per atom


Question: The lowest E belongs to which entry?
Answer: number 4


Question: Among the records above, which one has the highest E?
Answer: KGeCl6


Question: uncorrected formation energy of number 1 (KGeCl3)?
Answer: -0.95 eV per atom


Question: The highest total moment belongs to which entry?
Answer: KGeCl6